## TlTc2P2 (GGA-PBE)

Data for crystalline TlTc2P2 at its relaxed geometry.

a = 3.6756 Å, b = 3.6756 Å, c = 12.0547 Å
α = 90.00°, β = 90.00°, γ = 90.00°
With the nearest neighbours (Å) after each atom.
Space group I4/mmm (No. 139)
Asymmetric unit:
Tl  0.0000  0.0000  0.0000  8 Tc 3.01
Tc  0.0000  0.0000  0.3741  4 P 2.37
P  0.0000  0.5000  0.2500  4 Tc 2.37, 4 P 2.60

Total DFT energy (no corrections), eV/atom: -6.89
Mass density, g/cm³: 9.4